Material: MnAg
Method: DFT, GGA-PBE
State: relaxed

Its calculated formation energy is 378 meV/atom. For the calculated volume, the calculation gives 16.491 Å³/atom. The total energy is -11.26 eV/f.u. The value obtained for the density of states at the Fermi level is 0.57 states/eV/f.u.

The structure belongs to space group Fd-3m (No. 227, origin choice 2); the cell edges are 6.414, 6.414 and 6.414 Å and the angles 90.00°, 90.00° and 90.00°. The distinct sites, in fractional coordinates, are Mn at (0.125, 0.125, 0.125) and Ag at (0.125, 0.125, 0.625).